[1]
An optimized crystal structure of NaFeRh3, computed with PBE-GGA.

Computed properties:
DOS at the Fermi energy = 7.58 states/eV/cell
energy relative to the elements = 4.2 eV/f.u.
magnetization = 0.0 μB per cell
E above lowest polymorph = 0.0 kJ per mole of atoms

Cell: 4.499 4.499 4.499 Å, 90.00 90.00 90.00°
Sites, in units of the cell vectors:
Na: 0.500 0.500 0.500
Rh: 0.000 0.500 0.000
Rh: 0.000 0.000 0.500
Rh: 0.500 0.000 0.000
Fe: 0.000 0.000 0.000

[2]
An optimized crystal structure of K2TaAg, computed with PBE-GGA.

Computed properties:
DOS at the Fermi energy = 10.06 states/eV/cell
energy relative to the elements = 5.5 eV/f.u.
magnetization = 7.7 μB per cell
E above lowest polymorph = 55.5 kJ per mole of atoms

Cell: 11.652 11.652 8.668 Å, 47.77 47.77 90.00°
Last column: magnetic moment on the atom in μB.
Sites, in units of the cell vectors:
K: 0.493 0.125 0.250  0.02
K: 0.257 0.625 0.250  0.02
K: 0.375 0.507 0.750  0.02
K: 0.875 0.743 0.750  0.02
Ag: 0.500 0.500 0.000  0.05
Ag: 0.250 0.750 0.500  0.05
Ta: 0.000 0.000 0.000  2.09
Ta: 0.750 0.250 0.500  2.09

Which of these has the highest E above lowest polymorph? K2TaAg

What is the formula in the second record? K2TaAg

Which value of DOS at the Fermi energy does entry 1 give? 7.58 states/eV/cell